Crystalline KMn6O12 at its relaxed geometry, computed with PBE with a Hubbard U.

Geometry as POSCAR:
```
KMn6O12
1.0
8.3529 -0.0067 0.0000
-3.6447 7.5157 0.0000
-2.3541 -3.7545 7.0804
Mn O K
12 24 2
Direct
0.4850 0.9988 0.8168 Mn
0.8179 0.3317 0.8168 Mn
0.9988 0.1821 0.5138 Mn
0.3341 0.1509 0.4850 Mn
0.1821 0.6683 0.1832 Mn
0.8491 0.3341 0.1832 Mn
0.3317 0.5150 0.5138 Mn
0.5150 0.0012 0.1832 Mn
0.0012 0.8179 0.4862 Mn
0.6683 0.4850 0.4862 Mn
0.6659 0.8491 0.5150 Mn
0.1509 0.6659 0.8168 Mn
0.6551 0.2969 0.9520 O
0.2969 0.3449 0.6419 O
0.0122 0.3720 0.0497 O
0.9993 0.6249 0.2904 O
0.2911 0.0007 0.6256 O
0.6650 0.0421 0.7072 O
0.9579 0.6650 0.6229 O
0.3350 0.9579 0.2928 O
0.6776 0.0374 0.0497 O
0.9626 0.0122 0.6402 O
0.0374 0.9878 0.3598 O
0.0007 0.3751 0.7096 O
0.3449 0.7031 0.0480 O
0.0421 0.3350 0.3771 O
0.9878 0.6280 0.9503 O
0.6280 0.6776 0.6402 O
0.7031 0.6551 0.3581 O
0.6655 0.2911 0.2904 O
0.3224 0.9626 0.9503 O
0.3345 0.7089 0.7096 O
0.6249 0.3345 0.6256 O
0.3720 0.3224 0.3598 O
0.7089 0.9993 0.3744 O
0.3751 0.6655 0.3744 O
0.2864 0.2864 0.0000 K
0.7136 0.7136 0.0000 K
```

DOS(E_F)	11.18	states/eV per cell
VASP energy	-266.9	eV per cell
space group	No. 87
spin magnetization	38.000	Bohr magnetons per cell